The following is a GGA-PBE calculation of a relaxed structure of Mg2Al2SiRh5, from Alexandria.

**Formation energy without anion corrections**: -0.703 eV/atom
**Mass density**: 7.1 Mg/m³
**Crystal system**: tetragonal
**Spin magnetization**: 0.000 μB/atom

Cell and atoms, written as CIF:
```
data_Mg2Al2SiRh5
_cell_length_a 9.939
_cell_length_b 9.939
_cell_length_c 3.050
_cell_angle_alpha 90.00
_cell_angle_beta 90.00
_cell_angle_gamma 90.00
_symmetry_space_group_name_H-M 'P 4/m b m'
_symmetry_Int_Tables_number 127
_symmetry_space_group_name_Hall '-P 4 2ab'
loop_
_atom_site_label
_atom_site_fract_x
_atom_site_fract_y
_atom_site_fract_z
Mg1 0.168 0.332 0.000
Al1 0.133 0.633 0.000
Si1 0.000 0.000 0.000
Rh1 0.000 0.500 0.500
Rh2 0.073 0.813 0.500
```